{"formula": "Ta2OsBr", "functional": "PBE-GGA", "state": "relaxed", "formation_energy_uncorrected_ev_per_atom": 0.446, "relative_energy_mev_per_atom": 305, "total_energy_ev_per_cell": -34.8, "space_group": "Cm", "cell": [[5.268, -1.531, 0.000], [5.268, 1.531, 0.000], [-1.119, 0.000, 4.432]], "species": ["Ta", "Ta", "Os", "Br"], "fractional_positions": [[0.000, 0.000, 0.000], [0.246, 0.246, 0.650], [0.712, 0.712, 0.110], [0.459, 0.459, 0.460]]}

---

{"formula": "CaMnIr2", "functional": "PBE-GGA", "state": "relaxed", "formation_enthalpy_0k_ev_per_atom": 0.34, "relative_energy_mev_per_atom": 461, "total_energy_ev_per_cell": -55.1, "space_group": "I-42d", "cell": [[-3.636, 3.636, 2.694], [3.636, -3.636, 2.694], [3.636, 3.636, -2.694]], "species": ["Ca", "Ca", "Mn", "Mn", "Ir", "Ir", "Ir", "Ir"], "fractional_positions": [[0.000, 0.000, 0.000], [0.750, 0.250, 0.500], [0.250, 0.750, 0.500], [0.500, 0.500, 0.000], [0.193, 0.625, 0.068], [0.375, 0.443, 0.568], [0.557, 0.125, 0.932], [0.875, 0.807, 0.432]]}

---

{"formula": "LiAl2Cu2O6", "functional": "PBE-GGA", "state": "relaxed", "formation_energy_uncorrected_ev_per_atom": -1.685, "relative_energy_mev_per_atom": 0, "total_energy_ev_per_cell": -65.9, "space_group": "P3m1", "cell": [[3.022, 0.000, 0.000], [-1.511, 2.617, 0.000], [0.000, 0.000, 13.544]], "species": ["Li", "Al", "Al", "Cu", "Cu", "O", "O", "O", "O", "O", "O"], "fractional_positions": [[0.000, 0.000, 0.000], [0.333, 0.667, 0.387], [0.333, 0.667, 0.829], [0.000, 0.000, 0.605], [0.667, 0.333, 0.170], [0.000, 0.000, 0.454], [0.000, 0.000, 0.767], [0.333, 0.667, 0.104], [0.333, 0.667, 0.617], [0.667, 0.333, 0.316], [0.667, 0.333, 0.907]]}

---

{"formula": "Tb9Al2Tl", "functional": "PBE-GGA", "state": "relaxed", "formation_enthalpy_0k_ev_per_atom": -0.19, "total_energy_ev_per_cell": -53.7, "space_group": "P4/mmm", "cell": [[4.808, 0.000, 0.000], [0.000, 4.808, 0.000], [0.000, 0.000, 14.431]], "species": ["Tb", "Tb", "Tb", "Tb", "Tb", "Tb", "Tb", "Tb", "Tb", "Al", "Al", "Tl"], "fractional_positions": [[0.000, 0.000, 0.000], [0.000, 0.000, 0.336], [0.000, 0.000, 0.664], [0.000, 0.500, 0.173], [0.000, 0.500, 0.500], [0.000, 0.500, 0.827], [0.500, 0.000, 0.173], [0.500, 0.000, 0.500], [0.500, 0.000, 0.827], [0.500, 0.500, 0.335], [0.500, 0.500, 0.665], [0.500, 0.500, 0.000]]}

---

{"formula": "CaZn2Fe", "functional": "PBE-GGA", "state": "relaxed", "formation_enthalpy_0k_ev_per_atom": 0.24, "total_energy_ev_per_cell": -12.1, "space_group": "Imm2", "cell": [[-1.527, 2.458, 4.758], [1.527, -2.458, 4.758], [1.527, 2.458, -4.758]], "species": ["Ca", "Zn", "Zn", "Fe"], "fractional_positions": [[0.000, 0.000, 0.000], [0.489, 0.489, 0.000], [0.719, 0.219, 0.500], [0.275, 0.775, 0.500]]}

---

{"formula": "Ag2TeIr", "functional": "PBE-GGA", "state": "relaxed", "formation_energy_uncorrected_ev_per_atom": 0.557, "total_energy_ev_per_cell": -31.0, "space_group": "I-42d", "cell": [[-3.936, 3.936, 2.649], [3.936, -3.936, 2.649], [3.936, 3.936, -2.649]], "species": ["Ag", "Ag", "Ag", "Ag", "Te", "Te", "Ir", "Ir"], "fractional_positions": [[0.110, 0.125, 0.485], [0.375, 0.890, 0.015], [0.640, 0.625, 0.515], [0.875, 0.360, 0.985], [0.250, 0.750, 0.500], [0.500, 0.500, 0.000], [0.000, 0.000, 0.000], [0.750, 0.250, 0.500]]}

---

{"formula": "CaZrMn", "functional": "PBE-GGA", "state": "relaxed", "formation_enthalpy_0k_ev_per_atom": 0.74, "relative_energy_mev_per_atom": 466, "total_energy_ev_per_cell": -17.5, "space_group": "F-43m", "cell": [[0.000, 3.351, 3.351], [3.351, 0.000, 3.351], [3.351, 3.351, 0.000]], "species": ["Ca", "Zr", "Mn"], "fractional_positions": [[0.000, 0.000, 0.000], [0.500, 0.500, 0.500], [0.750, 0.750, 0.750]]}

---

{"formula": "Ba3PmSm2Te6", "functional": "PBE-GGA", "state": "relaxed", "formation_energy_uncorrected_ev_per_atom": -1.566, "total_energy_ev_per_cell": -57.6, "space_group": "C2/m", "cell": [[4.019, -6.949, 0.000], [4.019, 6.949, 0.000], [-2.677, 0.000, 7.875]], "species": ["Ba", "Ba", "Ba", "Pm", "Sm", "Sm", "Te", "Te", "Te", "Te", "Te", "Te"], "fractional_positions": [[0.000, 0.000, 0.000], [0.334, 0.666, 0.000], [0.666, 0.334, 0.000], [0.500, 0.500, 0.500], [0.167, 0.833, 0.500], [0.833, 0.167, 0.500], [0.092, 0.426, 0.278], [0.239, 0.239, 0.721], [0.426, 0.092, 0.278], [0.574, 0.908, 0.722], [0.761, 0.761, 0.279], [0.908, 0.574, 0.722]]}

---

{"formula": "CeScI6", "functional": "PBE-GGA", "state": "relaxed", "formation_energy_uncorrected_ev_per_atom": -1.275, "relative_energy_mev_per_atom": 0, "total_energy_ev_per_cell": -31.8, "space_group": "C2/m", "cell": [[3.969, -6.951, 0.000], [3.969, 6.951, 0.000], [-0.386, 0.000, 7.564]], "species": ["Ce", "Sc", "I", "I", "I", "I", "I", "I"], "fractional_positions": [[0.000, 0.000, 0.000], [0.000, 0.000, 0.500], [0.002, 0.296, 0.281], [0.296, 0.002, 0.281], [0.298, 0.298, 0.743], [0.702, 0.702, 0.257], [0.704, 0.998, 0.719], [0.998, 0.704, 0.719]]}

---

{"formula": "ZrSc2AgTe", "functional": "PBE-GGA", "state": "relaxed", "formation_energy_uncorrected_ev_per_atom": 0.350, "total_energy_ev_per_cell": -25.5, "space_group": "P4/mmm", "cell": [[5.242, 0.000, 0.000], [0.000, 5.242, 0.000], [0.000, 0.000, 5.308]], "species": ["Zr", "Sc", "Sc", "Ag", "Te"], "fractional_positions": [[0.000, 0.000, 0.000], [0.000, 0.500, 0.500], [0.500, 0.000, 0.500], [0.500, 0.500, 0.000], [0.000, 0.000, 0.500]]}

---

{"formula": "Nd2Pt15Rh2", "functional": "PBE-GGA", "state": "relaxed", "formation_enthalpy_0k_ev_per_atom": -0.38, "total_energy_ev_per_cell": -122.1, "space_group": "R-3m", "cell": [[4.628, 2.672, 4.489], [-4.628, 2.672, 4.489], [0.000, -5.344, 4.489]], "species": ["Nd", "Nd", "Pt", "Pt", "Pt", "Pt", "Pt", "Pt", "Pt", "Pt", "Pt", "Pt", "Pt", "Pt", "Pt", "Pt", "Pt", "Rh", "Rh"], "fractional_positions": [[0.165, 0.165, 0.165], [0.835, 0.835, 0.835], [0.000, 0.500, 0.500], [0.152, 0.152, 0.657], [0.152, 0.657, 0.152], [0.195, 0.500, 0.805], [0.195, 0.805, 0.500], [0.343, 0.848, 0.848], [0.500, 0.000, 0.500], [0.500, 0.195, 0.805], [0.500, 0.500, 0.000], [0.500, 0.805, 0.195], [0.657, 0.152, 0.152], [0.805, 0.195, 0.500], [0.805, 0.500, 0.195], [0.848, 0.343, 0.848], [0.848, 0.848, 0.343], [0.400, 0.400, 0.400], [0.600, 0.600, 0.600]]}

---

{"formula": "CeHf2O", "functional": "PBE-GGA", "state": "relaxed", "formation_energy_uncorrected_ev_per_atom": -0.900, "total_energy_ev_per_cell": -34.4, "space_group": "R-3m", "cell": [[1.519, 0.877, 9.261], [-1.519, 0.877, 9.261], [0.000, -1.753, 9.261]], "species": ["Ce", "Hf", "Hf", "O"], "fractional_positions": [[0.000, 0.000, 0.000], [0.112, 0.112, 0.112], [0.888, 0.888, 0.888], [0.500, 0.500, 0.500]]}